# 1
DFT (PBE-GGA) results for a geometry-optimized ZrSi3Ni structure.

Cell and atoms, written as extended XYZ:
```
5
Lattice="4.401 0.000 0.000 0.000 4.401 0.000 0.000 0.000 4.401" Properties=species:S:1:pos:R:3 pbc="T T T"
Zr 0.000 0.000 0.000
Si 0.000 2.201 2.201
Si 2.201 0.000 2.201
Si 2.201 2.201 0.000
Ni 2.201 2.201 2.201
```

Values from the calculation:
**Calculated density**: 4.56 g/cm³
**Raw total energy**: -5.844 eV/atom

# 2
DFT (PBE-GGA) results for a geometry-optimized ZrSiNi structure.

Cell and atoms, written as extended XYZ:
```
6
Lattice="1.817 -4.832 0.000 1.817 4.832 0.000 0.000 0.000 5.168" Properties=species:S:1:pos:R:3 pbc="T T T"
Zr 1.817 2.839 3.876
Zr 1.817 -2.839 1.292
Si 1.817 4.030 1.292
Si 1.817 -4.030 3.876
Ni 1.817 0.000 0.000
Ni 1.817 0.000 2.584
```

Values from the calculation:
**Calculated density**: 6.52 g/cm³
**Raw total energy**: -7.400 eV/atom

# 3
DFT (PBE-GGA) results for a geometry-optimized Zr2Si2Ni structure.

Cell and atoms, written as extended XYZ:
```
5
Lattice="-2.123 2.123 5.546 2.123 -2.123 5.546 2.123 2.123 -5.546" Properties=species:S:1:pos:R:3 pbc="T T T"
Zr 2.123 0.000 2.773
Zr 0.000 2.123 2.773
Si 0.000 0.000 1.103
Si 0.000 0.000 9.988
Ni 0.000 0.000 5.546
```

Values from the calculation:
**Calculated density**: 4.94 g/cm³
**Raw total energy**: -6.467 eV/atom

# 4
DFT (PBE-GGA) results for a geometry-optimized ZrSi3Ni structure.

Cell and atoms, written as extended XYZ:
```
5
Lattice="5.013 0.000 0.000 0.000 5.013 0.000 0.000 0.000 5.013" Properties=species:S:1:pos:R:3 pbc="T T T"
Zr 0.000 0.000 0.000
Si 0.000 0.000 2.507
Si 0.000 2.507 0.000
Si 2.507 0.000 0.000
Ni 2.507 2.507 2.507
```

Values from the calculation:
**Calculated density**: 3.09 g/cm³
**Raw total energy**: -4.828 eV/atom

# 5
DFT (PBE-GGA) results for a geometry-optimized ZrSi2Ni structure.

Cell and atoms, written as extended XYZ:
```
4
Lattice="0.000 3.110 3.110 3.110 0.000 3.110 3.110 3.110 0.000" Properties=species:S:1:pos:R:3 pbc="T T T"
Zr 0.000 0.000 0.000
Si 1.555 1.555 1.555
Si 4.665 4.665 4.665
Ni 3.110 3.110 3.110
```

Values from the calculation:
**Calculated density**: 5.69 g/cm³
**Raw total energy**: -6.434 eV/atom

# 6
DFT (PBE-GGA) results for a geometry-optimized ZrSi2Ni structure.

Cell and atoms, written as extended XYZ:
```
4
Lattice="0.000 3.133 3.133 3.133 0.000 3.133 3.133 3.133 0.000" Properties=species:S:1:pos:R:3 pbc="T T T"
Zr 0.000 0.000 0.000
Si 1.567 1.567 1.567
Si 3.133 3.133 3.133
Ni 4.700 4.700 4.700
```

Values from the calculation:
**Calculated density**: 5.56 g/cm³
**Raw total energy**: -6.348 eV/atom

> Look up the raw total energy of the fourth one.

-4.828 eV/atom

> Among the records above, which one has the lowest raw total energy?

ZrSiNi